The following is a PBE-GGA calculation of an optimized crystal structure of CeSbHRu, from Alexandria via LeMat-Bulk.

DFT total energy = -50.358 eV per cell

Unit cell a=3.7238 b=4.6237 c=8.0315 alpha=90.00 beta=90.00 gamma=90.00
Space group Amm2 (No. 38)
Unique sites:
1 Ce 0.0000 0.0000 0.0000 (multiplicity 2)
2 Sb 0.5000 0.0000 0.3327 (multiplicity 2)
3 H 0.0000 0.0000 0.6654 (multiplicity 2)
4 Ru 0.5000 0.0000 0.6654 (multiplicity 2)